The following is a DFT calculation (PBE) of a relaxed SrBP2Cl crystal.

a b c (Å): 4.073 4.073 6.073
angles (deg): 90.00 90.00 90.00
Space group P4/mmm (No. 123)
Inequivalent atoms, fractional coordinates:
Sr 0.000 0.000 0.000
B 0.500 0.500 0.500
P 0.000 0.500 0.500
Cl 0.500 0.500 0.000

Results
- polymorph energy (0 for the lowest one) (eV/atom) = 0.000
- crystal system = tetragonal
- E_form (uncorrected) (meV/atom) = -263